1.
Compound: GdPuCdOs
Source: the Alexandria database
Functional: PBE-GGA
Structure: relaxed

Cell and atoms, written as CIF:
```
data_GdPuCdOs
_cell_length_a 5.043
_cell_length_b 5.043
_cell_length_c 5.043
_cell_angle_alpha 60.00
_cell_angle_beta 60.00
_cell_angle_gamma 60.00
_symmetry_space_group_name_H-M 'P 1'
_symmetry_Int_Tables_number 1
loop_
_symmetry_equiv_pos_as_xyz
'x,y,z'
loop_
_atom_site_label
_atom_site_type_symbol
_atom_site_fract_x
_atom_site_fract_y
_atom_site_fract_z
Gd1 Gd 0.000 0.000 0.000
Pu1 Pu 0.500 0.500 0.500
Cd1 Cd 0.250 0.250 0.250
Os1 Os 0.750 0.750 0.750
```

Calculated values
crystal system = cubic
calculated volume = 91 Å³ per cell
final energy = -10.123 eV per atom
energy of formation from the pure elements = 0.016 eV per atom

2.
Compound: TbGdCdOs
Source: the Alexandria database
Functional: PBE-GGA
Structure: relaxed

Cell and atoms, written as CIF:
```
data_TbGdCdOs
_cell_length_a 5.049
_cell_length_b 5.049
_cell_length_c 5.049
_cell_angle_alpha 60.00
_cell_angle_beta 60.00
_cell_angle_gamma 60.00
_symmetry_space_group_name_H-M 'P 1'
_symmetry_Int_Tables_number 1
loop_
_symmetry_equiv_pos_as_xyz
'x,y,z'
loop_
_atom_site_label
_atom_site_type_symbol
_atom_site_fract_x
_atom_site_fract_y
_atom_site_fract_z
Tb1 Tb 0.000 0.000 0.000
Gd1 Gd 0.500 0.500 0.500
Cd1 Cd 0.750 0.750 0.750
Os1 Os 0.250 0.250 0.250
```

Calculated values
crystal system = cubic
calculated volume = 91 Å³ per cell
final energy = -7.892 eV per atom
energy of formation from the pure elements = -0.178 eV per atom

3.
Compound: GdThCdOs
Source: the Alexandria database
Functional: PBE-GGA
Structure: relaxed

Cell and atoms, written as CIF:
```
data_GdThCdOs
_cell_length_a 5.150
_cell_length_b 5.150
_cell_length_c 5.150
_cell_angle_alpha 60.00
_cell_angle_beta 60.00
_cell_angle_gamma 60.00
_symmetry_space_group_name_H-M 'P 1'
_symmetry_Int_Tables_number 1
loop_
_symmetry_equiv_pos_as_xyz
'x,y,z'
loop_
_atom_site_label
_atom_site_type_symbol
_atom_site_fract_x
_atom_site_fract_y
_atom_site_fract_z
Gd1 Gd 0.000 0.000 0.000
Th1 Th 0.500 0.500 0.500
Cd1 Cd 0.250 0.250 0.250
Os1 Os 0.750 0.750 0.750
```

Calculated values
crystal system = cubic
calculated volume = 97 Å³ per cell
final energy = -8.533 eV per atom
energy of formation from the pure elements = -0.122 eV per atom

4.
Compound: GdYCdOs
Source: the Alexandria database
Functional: PBE-GGA
Structure: relaxed

Cell and atoms, written as CIF:
```
data_GdYCdOs
_cell_length_a 5.046
_cell_length_b 5.046
_cell_length_c 5.046
_cell_angle_alpha 60.00
_cell_angle_beta 60.00
_cell_angle_gamma 60.00
_symmetry_space_group_name_H-M 'P 1'
_symmetry_Int_Tables_number 1
loop_
_symmetry_equiv_pos_as_xyz
'x,y,z'
loop_
_atom_site_label
_atom_site_type_symbol
_atom_site_fract_x
_atom_site_fract_y
_atom_site_fract_z
Gd1 Gd 0.000 0.000 0.000
Y1 Y 0.500 0.500 0.500
Cd1 Cd 0.250 0.250 0.250
Os1 Os 0.750 0.750 0.750
```

Calculated values
crystal system = cubic
calculated volume = 91 Å³ per cell
final energy = -8.355 eV per atom
energy of formation from the pure elements = -0.183 eV per atom

5.
Compound: GdZrCdOs
Source: the Alexandria database
Functional: PBE-GGA
Structure: relaxed

Cell and atoms, written as CIF:
```
data_GdZrCdOs
_cell_length_a 4.930
_cell_length_b 4.930
_cell_length_c 4.930
_cell_angle_alpha 60.00
_cell_angle_beta 60.00
_cell_angle_gamma 60.00
_symmetry_space_group_name_H-M 'P 1'
_symmetry_Int_Tables_number 1
loop_
_symmetry_equiv_pos_as_xyz
'x,y,z'
loop_
_atom_site_label
_atom_site_type_symbol
_atom_site_fract_x
_atom_site_fract_y
_atom_site_fract_z
Gd1 Gd 0.000 0.000 0.000
Zr1 Zr 0.500 0.500 0.500
Cd1 Cd 0.250 0.250 0.250
Os1 Os 0.750 0.750 0.750
```

Calculated values
crystal system = cubic
calculated volume = 85 Å³ per cell
final energy = -8.816 eV per atom
energy of formation from the pure elements = -0.122 eV per atom

6.
Compound: Gd2CdP
Source: the Alexandria database
Functional: PBE-GGA
Structure: relaxed

Cell and atoms, written as CIF:
```
data_Gd2CdP
_cell_length_a 8.284
_cell_length_b 8.284
_cell_length_c 8.284
_cell_angle_alpha 27.58
_cell_angle_beta 27.58
_cell_angle_gamma 27.58
_symmetry_space_group_name_H-M 'P 1'
_symmetry_Int_Tables_number 1
loop_
_symmetry_equiv_pos_as_xyz
'x,y,z'
loop_
_atom_site_label
_atom_site_type_symbol
_atom_site_fract_x
_atom_site_fract_y
_atom_site_fract_z
Gd1 Gd 0.234 0.234 0.234
Gd2 Gd 0.766 0.766 0.766
Cd1 Cd 0.000 0.000 0.000
P1 P 0.500 0.500 0.500
```

Calculated values
crystal system = trigonal
calculated volume = 108 Å³ per cell
final energy = -9.494 eV per atom
energy of formation from the pure elements = -0.872 eV per atom

7.
Compound: Gd2PaCd
Source: the Alexandria database
Functional: PBE-GGA
Structure: relaxed

Cell and atoms, written as CIF:
```
data_Gd2PaCd
_cell_length_a 12.045
_cell_length_b 12.045
_cell_length_c 12.045
_cell_angle_alpha 16.17
_cell_angle_beta 16.17
_cell_angle_gamma 16.17
_symmetry_space_group_name_H-M 'P 1'
_symmetry_Int_Tables_number 1
loop_
_symmetry_equiv_pos_as_xyz
'x,y,z'
loop_
_atom_site_label
_atom_site_type_symbol
_atom_site_fract_x
_atom_site_fract_y
_atom_site_fract_z
Gd1 Gd 0.091 0.091 0.091
Gd2 Gd 0.909 0.909 0.909
Pa1 Pa 0.500 0.500 0.500
Cd1 Cd 0.000 0.000 0.000
```

Calculated values
crystal system = trigonal
excess energy over the best structure of this formula in the dataset = 258 meV per atom
calculated volume = 118 Å³ per cell
final energy = -9.441 eV per atom
energy of formation from the pure elements = 0.202 eV per atom

8.
Compound: Gd2PaCd
Source: the Alexandria database
Functional: PBE-GGA
Structure: relaxed

Cell and atoms, written as CIF:
```
data_Gd2PaCd
_cell_length_a 4.881
_cell_length_b 4.881
_cell_length_c 4.616
_cell_angle_alpha 90.00
_cell_angle_beta 90.00
_cell_angle_gamma 90.00
_symmetry_space_group_name_H-M 'P 1'
_symmetry_Int_Tables_number 1
loop_
_symmetry_equiv_pos_as_xyz
'x,y,z'
loop_
_atom_site_label
_atom_site_type_symbol
_atom_site_fract_x
_atom_site_fract_y
_atom_site_fract_z
Gd1 Gd 0.000 0.500 0.000
Gd2 Gd 0.500 0.000 0.000
Pa1 Pa 0.000 0.000 0.500
Cd1 Cd 0.500 0.500 0.500
```

Calculated values
crystal system = tetragonal
excess energy over the best structure of this formula in the dataset = 211 meV per atom
calculated volume = 110 Å³ per cell
final energy = -9.489 eV per atom
energy of formation from the pure elements = 0.155 eV per atom